This record from Alexandria via LeMat-Bulk describes an optimized crystal structure of InFe2BiO6. The functional is PBE with a Hubbard U.

Unit cell a=5.4928 b=5.4928 c=5.6968 alpha=61.18 beta=61.18 gamma=60.00
Closest atoms and distances in Å follow each position.
Atoms (fractional coordinates):
Bi: 0.2964 0.2964 0.1108  6 O 2.35-2.42
O: 0.2358 0.8493 0.2404  2 Fe 1.98-2.12
O: 0.6746 0.2358 0.2404  2 Fe 1.98-2.12
O: 0.3848 0.7383 0.7393  2 Fe 2.03-2.18, 1 In 2.19
O: 0.8493 0.6746 0.2404  2 Fe 1.98-2.12
O: 0.1377 0.3848 0.7393  2 Fe 2.03-2.18, 1 In 2.19
O: 0.7383 0.1377 0.7393  2 Fe 2.03-2.18, 1 In 2.19
In: 0.8045 0.8045 0.5865  6 O 2.19-2.27
Fe: 0.5202 0.5202 0.4395  6 O 1.98-2.18
Fe: 0.0201 0.0201 0.9396  6 O 2.03-2.12

## Properties
- E_tot: -6.1476 eV per atom
- Volume: 123.7 Å³/cell
- Space-group type: R3